Hf8ZrIn6 | GGA-PBE | relaxed

Cell: 7.6995 7.6995 7.6995 Å, 65.84 65.84 65.84°
Last column: nearest neighbours and their distance in Å.
Positions (direct):
Hf1 0.0535 0.3875 0.7195  5 In 2.87-3.13
Hf2 0.1670 0.1670 0.1670  6 In 2.99
Hf3 0.2805 0.9465 0.6125  5 In 2.87-3.13
Hf4 0.3875 0.7195 0.0535  5 In 2.87-3.13
Hf5 0.6125 0.2805 0.9465  5 In 2.87-3.13
Hf6 0.7195 0.0535 0.3875  5 In 2.87-3.13
Hf7 0.8330 0.8330 0.8330  6 In 2.99
Hf8 0.9465 0.6125 0.2805  5 In 2.87-3.13
Zr1 0.5000 0.5000 0.5000  6 In 3.00
In1 0.1051 0.7743 0.4387  7 Hf 2.87-3.13, 1 Zr 3.00
In2 0.2257 0.5613 0.8949  7 Hf 2.87-3.13, 1 Zr 3.00
In3 0.4387 0.1051 0.7743  7 Hf 2.87-3.13, 1 Zr 3.00
In4 0.5613 0.8949 0.2257  7 Hf 2.87-3.13, 1 Zr 3.00
In5 0.7743 0.4387 0.1051  7 Hf 2.87-3.13, 1 Zr 3.00
In6 0.8949 0.2257 0.5613  7 Hf 2.87-3.13, 1 Zr 3.00

Energy of formation = 0.223 eV per atom
Density of states at the Fermi level = 7.369 states/eV per cell
Theoretical density = 10.085 Mg/m³
E = -6.751 eV per atom
V = 24.2 A^3/atom
Total magnetization = 0.00 μB/cell

Hf2Zr5In | GGA-PBE | relaxed

Cell: 8.2558 8.2558 8.2558 Å, 124.47 124.47 82.41°
Last column: nearest neighbours and their distance in Å.
Positions (direct):
Hf1 0.1436 0.6436 0.7871  8 Zr 2.96-3.04, 1 Hf 3.12
Hf2 0.3564 0.1436 0.5000  8 Zr 2.96-3.04, 1 Hf 3.12
Hf3 0.6436 0.8564 0.5000  8 Zr 2.96-3.04, 1 Hf 3.12
Hf4 0.8564 0.3564 0.2129  8 Zr 2.96-3.04, 1 Hf 3.12
Zr1 0.0000 0.0000 0.0000  4 Hf 2.96, 2 In 3.11
Zr2 0.0118 0.8137 0.5000  3 Hf 3.01-3.04, 4 Zr 3.06-3.28, 2 In 3.12
Zr3 0.1863 0.6863 0.1982  3 Hf 3.01-3.04, 4 Zr 3.06-3.28, 2 In 3.12
Zr4 0.3137 0.5118 0.5000  3 Hf 3.01-3.04, 4 Zr 3.06-3.28, 2 In 3.12
Zr5 0.4882 0.9882 0.8018  3 Hf 3.01-3.04, 4 Zr 3.06-3.28, 2 In 3.12
Zr6 0.5000 0.5000 0.0000  4 Hf 2.96, 2 In 3.11
Zr7 0.5118 0.0118 0.1982  3 Hf 3.01-3.04, 4 Zr 3.06-3.28, 2 In 3.12
Zr8 0.6863 0.4882 0.5000  3 Hf 3.01-3.04, 4 Zr 3.06-3.28, 2 In 3.12
Zr9 0.8137 0.3137 0.8018  3 Hf 3.01-3.04, 4 Zr 3.06-3.28, 2 In 3.12
Zr10 0.9882 0.1863 0.5000  3 Hf 3.01-3.04, 4 Zr 3.06-3.28, 2 In 3.12
In1 0.2500 0.2500 0.0000  10 Zr 3.11-3.12
In2 0.7500 0.7500 0.0000  10 Zr 3.11-3.12

Energy of formation = -0.007 eV per atom
Density of states at the Fermi level = 15.910 states/eV per cell
Theoretical density = 8.387 Mg/m³
E = -8.181 eV per atom
V = 23.0 A^3/atom
Total magnetization = 0.63 μB/cell